Model one:
Sr4CaZn (PBE-GGA, relaxed); symmetry = F-43m, No. 216; N(E_F) = 5.968 states/eV/f.u.
1.0
0.000 5.356 5.356
5.356 0.000 5.356
5.356 5.356 0.000
Sr Ca Zn
4 1 1
Direct
0.125 0.125 0.125 Sr
0.125 0.125 0.625 Sr
0.125 0.625 0.125 Sr
0.625 0.125 0.125 Sr
0.500 0.500 0.500 Ca
0.750 0.750 0.750 Zn



Model two:
Sr4CaZn (PBE-GGA, relaxed); symmetry = P4/mmm, No. 123; N(E_F) = 6.305 states/eV/f.u.
1.0
4.025 0.000 0.000
0.000 4.025 0.000
0.000 0.000 16.277
Sr Ca Zn
4 1 1
Direct
0.000 0.000 0.115 Sr
0.000 0.000 0.885 Sr
0.500 0.500 0.317 Sr
0.500 0.500 0.683 Sr
0.000 0.000 0.500 Ca
0.500 0.500 0.000 Zn



The structure with the greatest stability is model two.